# 1
PdPtPb4: relaxed, PBE.

Cell and atoms, written as extended XYZ:
```
6
Lattice="-2.742 0.491 5.061 4.402 -3.716 -0.432 2.332 5.199 -0.949" Properties=species:S:1:pos:R:3 pbc="T T T"
Pd 0.000 0.000 0.000
Pt 0.830 -1.612 2.314
Pb -0.811 0.882 2.772
Pb 1.230 3.197 3.654
Pb 4.935 -0.743 -0.420
Pb 2.629 0.615 1.353
```

The space group is I422, No. 97. The calculated density comes out at 12.9 g/cm³. The value obtained for the density of states at the Fermi level is 0.48 states/eV per atom. As for the total magnetization: 0.0 Bohr magnetons per cell. The calculation puts the energy above the most stable polymorph in this dataset at 12 meV/atom.

=====

# 2
Pd6Pt2Pb: relaxed, PBE.

Cell and atoms, written as extended XYZ:
```
18
Lattice="5.415 0.000 0.000 0.000 6.210 -2.270 0.000 -1.206 9.931" Properties=species:S:1:pos:R:3 pbc="T T T"
Pd 4.651 -0.264 7.760
Pd 2.056 1.362 3.301
Pd 2.033 1.052 0.584
Pd 4.740 1.450 3.247
Pd 4.763 1.140 0.529
Pd 1.943 1.560 6.002
Pd 0.765 5.268 -0.099
Pd 3.359 3.642 4.360
Pd 3.382 3.952 7.077
Pd 0.675 3.554 4.415
Pd 0.652 3.864 7.132
Pd 3.472 3.444 1.660
Pt 3.482 5.513 -0.063
Pt 0.775 3.200 1.624
Pt 4.640 1.804 6.037
Pt 1.933 -0.509 7.724
Pb 2.707 3.105 -1.135
Pb 0.000 -0.603 4.965
```

The space group is P2_1/c, No. 14. The calculated density comes out at 12.9 g/cm³. The value obtained for the density of states at the Fermi level is 1.26 states/eV per atom. As for the total magnetization: 0.0 Bohr magnetons per cell. The calculation puts the energy above the most stable polymorph in this dataset at 87 meV/atom.

=====

# 3
Pd2Pt3Pb8: relaxed, PBE.

Cell and atoms, written as extended XYZ:
```
13
Lattice="-4.379 -1.742 1.053 1.482 -6.702 -4.924 3.543 -6.076 4.681" Properties=species:S:1:pos:R:3 pbc="T T T"
Pd 1.588 -10.480 0.343
Pd -0.943 -4.041 0.467
Pt -2.190 -0.871 0.526
Pt 2.017 -6.538 -2.427
Pt -1.372 -7.982 3.237
Pb -2.495 -6.533 0.962
Pb 3.141 -7.987 -0.152
Pb 4.402 -11.197 -0.215
Pb -3.757 -3.324 1.025
Pb 1.456 -8.696 2.741
Pb 0.441 -9.003 -1.989
Pb 0.205 -5.517 2.799
Pb -0.810 -5.824 -1.930
```

The space group is Cmmm, No. 65. The calculated density comes out at 12.5 g/cm³. The value obtained for the density of states at the Fermi level is 0.58 states/eV per atom. As for the total magnetization: 0.0 Bohr magnetons per cell.

=====

Calculated formation enthalpy at 0 K, -0.178, 0.042, -0.129 eV/atom (same order as the records).